Compound: Sr2MgP
Source: Alexandria
Functional: GGA-PBE
Structure: relaxed

Cell: 4.296 4.731 6.569 Å, 68.88 90.00 90.00°
Atoms (fractional coordinates):
Mg (0.000, 0.682, 0.512)
Sr (0.500, 0.281, 0.312)
Sr (0.000, 0.989, 0.898)
P (0.500, 0.548, 0.779)

Values from the calculation:
Offset from the most stable computed form   0 meV per atom
Space group   Amm2, No. 38
V   125 Å³/cell
Energy relative to the elements   -13.080 kcal/mol of atoms
Calculated total energy   -0.23220 Ry/atom

***

Compound: SrMgP2
Source: Alexandria
Functional: GGA-PBE
Structure: relaxed

Cell: 4.154 4.154 5.776 Å, 90.00 90.00 90.00°
Last column: magnetic moment on the atom in μB.
Atoms (fractional coordinates):
P (0.500, 0.500, 0.372)  0.04
Sr (0.000, 0.000, 0.376)  0.01
P (0.000, 0.000, 0.876)  0.07
Mg (0.500, 0.500, 0.876)  0.00

Values from the calculation:
Space group   P4mm, No. 99
V   100 Å³/cell
Energy relative to the elements   -5.897 kcal/mol of atoms
Calculated total energy   -0.27781 Ry/atom

***

Compound: SrMgP2
Source: Alexandria
Functional: GGA-PBE
Structure: relaxed

Cell: 5.922 5.922 5.922 Å, 139.34 139.34 58.85°
Atoms (fractional coordinates):
P (0.000, 0.000, 0.000)
Sr (0.500, 0.500, 0.000)
Mg (0.750, 0.250, 0.500)
P (0.250, 0.750, 0.500)

Values from the calculation:
Space group   I-4m2, No. 119
V   87 Å³/cell
Energy relative to the elements   -6.271 kcal/mol of atoms
Calculated total energy   -0.27900 Ry/atom